## Na2TaMn (PBE)

Data for a geometry-optimized Na2TaMn structure.

abc: 8.4536 8.4536 5.0104
angles: 90.00 90.00 90.00
Fractional coordinates of all 16 atoms:
Na1 0.2158 0.2500 0.1250
Na2 0.2500 0.7158 0.3750
Na3 0.2500 0.7842 0.8750
Na4 0.2842 0.2500 0.6250
Na5 0.7158 0.7500 0.6250
Na6 0.7500 0.2158 0.8750
Na7 0.7500 0.2842 0.3750
Na8 0.7842 0.7500 0.1250
Ta1 0.0000 0.0000 0.5000
Ta2 0.0000 0.5000 0.7500
Ta3 0.5000 0.0000 0.2500
Ta4 0.5000 0.5000 0.0000
Mn1 0.0000 0.0000 0.0000
Mn2 0.0000 0.5000 0.2500
Mn3 0.5000 0.0000 0.7500
Mn4 0.5000 0.5000 0.5000

Summary:
Calculated formation energy   1.33 eV/atom
Theoretical density   5.229 g/cm3
Total DFT energy (no corrections)   -4.585 eV per atom
Calculated volume   358.1 Å³/cell
Magnetic moment   1.28 μB/f.u.
Offset from the most stable computed form   0 meV per atom